1.
Material: Cd3Au
Method: DFT, PBEsol
State: optimized geometry

Unit cell a=3.097 b=3.097 c=9.305 alpha=90.00 beta=90.00 gamma=120.00
Element x y z (fractional)
Au1 0.000 0.000 0.000
Cd1 0.000 0.000 0.500
Cd2 0.667 0.333 0.760
Cd3 0.667 0.333 0.240

Summary:
Its volume is 19.328 Å³ per atom. The calculated formation energy is -5.95 kJ/mol of atoms. The space-group type is P-6m2 (187).



2.
Material: SrI2N2
Method: DFT, PBEsol
State: optimized geometry

Unit cell a=4.341 b=4.341 c=6.644 alpha=90.00 beta=90.00 gamma=90.00
Each line ends with the local moment (μB).
Element x y z (fractional)
I1 0.000 0.000 0.000  0.03
I2 0.000 0.000 0.500  0.00
Sr1 0.500 0.500 0.500  0.00
N1 0.000 0.500 0.000  0.40
N2 0.500 0.000 0.000  0.40

Summary:
Its volume is 25.037 Å³ per atom. For the energy relative to the elements, uncorrected, the calculation gives 945 meV/atom. The space-group type is P4/mmm (123).



3.
Material: Tc2SbAu
Method: DFT, PBEsol
State: optimized geometry

Unit cell a=3.990 b=3.990 c=4.917 alpha=113.93 beta=113.93 gamma=90.00
Element x y z (fractional)
Au1 0.500 0.500 0.000
Sb1 0.250 0.750 0.500
Tc1 0.000 0.000 0.000
Tc2 0.750 0.250 0.500

Summary:
Its volume is 16.026 Å³ per atom. For the energy relative to the elements, uncorrected, the calculation gives 358 meV/atom. The space-group type is I-4m2 (119).



4.
Material: TcAgSe
Method: DFT, PBEsol
State: optimized geometry

Unit cell a=3.089 b=3.089 c=5.572 alpha=106.09 beta=106.09 gamma=90.00
Element x y z (fractional)
Ag1 0.997 0.997 0.994
Se1 0.695 0.695 0.389
Tc1 0.308 0.308 0.616

Summary:
Its volume is 16.305 Å³ per atom. For the energy relative to the elements, uncorrected, the calculation gives 169 meV/atom. The space-group type is I4mm (107). The calculation puts the relative energy among the computed polymorphs at 0.000 eV/atom.



5.
Material: SbPb3
Method: DFT, PBEsol
State: optimized geometry

Unit cell a=3.985 b=3.985 c=7.289 alpha=90.00 beta=90.00 gamma=90.00
Element x y z (fractional)
Pb1 0.000 0.000 0.735
Pb2 0.500 0.500 0.000
Pb3 0.000 0.000 0.265
Sb1 0.500 0.500 0.500

Summary:
Its volume is 28.935 Å³ per atom. For the energy relative to the elements, uncorrected, the calculation gives 48 meV/atom. The space-group type is P4/mmm (123).



6.
Material: LaTl2
Method: DFT, PBEsol
State: optimized geometry

Unit cell a=5.054 b=6.906 c=9.697 alpha=90.00 beta=90.00 gamma=90.00
Element x y z (fractional)
La1 0.750 0.828 0.587
La2 0.250 0.672 0.087
La3 0.750 0.328 0.913
La4 0.250 0.172 0.413
Tl1 0.750 0.456 0.261
Tl2 0.250 0.044 0.761
Tl3 0.750 0.956 0.239
Tl4 0.250 0.544 0.739
Tl5 0.750 0.341 0.583
Tl6 0.250 0.159 0.083
Tl7 0.750 0.841 0.917
Tl8 0.250 0.659 0.417

Summary:
Its volume is 28.203 Å³ per atom. The calculated formation energy is -38.75 kJ/mol of atoms. The space-group type is Pnma (62).



Question: Among the records above, which one has the lowest volume?
Answer: Tc2SbAu



Question: Which value of volume does entry 4 give?
Answer: 16.305 Å³ per atom



What did the sixth record say?
Material: LaTl2
Method: DFT, PBEsol
State: optimized geometry

Unit cell a=5.054 b=6.906 c=9.697 alpha=90.00 beta=90.00 gamma=90.00
Element x y z (fractional)
La1 0.750 0.828 0.587
La2 0.250 0.672 0.087
La3 0.750 0.328 0.913
La4 0.250 0.172 0.413
Tl1 0.750 0.456 0.261
Tl2 0.250 0.044 0.761
Tl3 0.750 0.956 0.239
Tl4 0.250 0.544 0.739
Tl5 0.750 0.341 0.583
Tl6 0.250 0.159 0.083
Tl7 0.750 0.841 0.917
Tl8 0.250 0.659 0.417

Summary:
Its volume is 28.203 Å³ per atom. The calculated formation energy is -38.75 kJ/mol of atoms. The space-group type is Pnma (62).